Entry 1:
VASP calculation (GGA+U) on a relaxed Ho2CoO5 crystal.

Lattice parameters (Å, degrees): 10.2565 3.6861 11.1628 90.00 90.00 90.00
Space group Pnma (No. 62)
Symmetry-distinct sites (fractional):
Ho 0.1069 0.2500 0.2226
Ho 0.1377 0.2500 0.5555
Co 0.1812 0.2500 0.8783
O 0.0104 0.7500 0.6036
O 0.0148 0.2500 0.8376
O 0.2202 0.2500 0.0398
O 0.2383 0.7500 0.2277
O 0.2414 0.7500 0.8805

## Properties
Fermi-level density of states: 0.153 states/eV/atom
uncorrected energy: -7.399 eV per atom

---

Entry 2:
VASP calculation (GGA+U) on a relaxed HoCoO2 crystal.

Lattice parameters (Å, degrees): 3.5564 3.5564 17.0717 90.00 90.00 120.00
Space group R-3m (No. 166, hexagonal axes)
Symmetry-distinct sites (fractional):
Ho 0.0000 0.0000 0.0000
Co 0.0000 0.0000 0.5000
O 0.0000 0.0000 0.3923

## Properties
uncorrected energy: -7.231 eV per atom

---

Entry 3:
VASP calculation (GGA+U) on a relaxed Ho2CoO crystal.

Lattice parameters (Å, degrees): 3.3299 3.3299 24.6702 90.00 90.00 120.00
Space group R-3m (No. 166, hexagonal axes)
Symmetry-distinct sites (fractional):
Ho 0.0000 0.0000 0.1097
Co 0.0000 0.0000 0.0000
O 0.0000 0.0000 0.5000

## Properties
Fermi-level density of states: 0.586 states/eV/atom
uncorrected energy: -5.589 eV per atom

---

Entry 4:
VASP calculation (GGA+U) on a relaxed HoPaCo2O8 crystal.

Lattice parameters (Å, degrees): 7.1074 7.1074 6.4269 90.00 90.00 90.00
Space group I-4m2 (No. 119)
Symmetry-distinct sites (fractional):
Ho 0.0000 0.0000 0.0000
Pa 0.0000 0.5000 0.7500
Co 0.0000 0.0000 0.5000
Co 0.0000 0.5000 0.2500
O 0.0000 0.1905 0.6818
O 0.0000 0.3169 0.0586

## Properties
Fermi-level density of states: 0.044 states/eV/atom
uncorrected energy: -7.431 eV per atom

---

Entry 5:
VASP calculation (GGA+U) on a relaxed HoPuCo2O8 crystal.

Lattice parameters (Å, degrees): 6.8129 6.8129 6.6625 90.00 90.00 90.00
Space group I-4m2 (No. 119)
Symmetry-distinct sites (fractional):
Ho 0.0000 0.0000 0.0000
Pu 0.0000 0.5000 0.7500
Co 0.0000 0.0000 0.5000
Co 0.0000 0.5000 0.2500
O 0.0000 0.2035 0.7036
O 0.0000 0.3249 0.0629

## Properties
Fermi-level density of states: 0.482 states/eV/atom
uncorrected energy: -7.543 eV per atom

---

Entry 6:
VASP calculation (GGA+U) on a relaxed Rb2HoCoO4 crystal.

Lattice parameters (Å, degrees): 5.6487 12.7039 22.5272 90.00 90.00 90.00
Space group Fddd (No. 70, origin choice 2)
Symmetry-distinct sites (fractional):
Rb 0.1250 0.1250 0.3135
Ho 0.1250 0.1250 0.1250
Co 0.1250 0.1250 0.6250
O 0.0981 0.2846 0.8373

## Properties
uncorrected energy: -5.577 eV per atom